# RbSc2VCl8 (PBE, relaxed)
# Theoretical density: 2.4 g/cm³
data_RbSc2VCl8
_space_group_name_H-M_alt 'R -3'
_space_group_IT_number 148
_space_group_name_Hall '-R 3'
_cell_length_a 6.5759
_cell_length_b 6.5759
_cell_length_c 28.3782
_cell_angle_alpha 90.00
_cell_angle_beta 90.00
_cell_angle_gamma 120.00
loop_
_atom_site_label
_atom_site_fract_x
_atom_site_fract_y
_atom_site_fract_z
Rb1 0.0000 0.0000 0.0000
Sc1 0.0000 0.0000 0.2377
V1 0.0000 0.0000 0.5000
Cl1 0.0000 0.0000 0.3208
Cl2 0.0113 0.3628 0.2186

***

# K3Pa2S5Br2 (PBE, relaxed)
# Theoretical density: 3.9 g/cm³
data_K3Pa2S5Br2
_space_group_name_H-M_alt 'I 4/m m m'
_space_group_IT_number 139
_space_group_name_Hall '-I 4 2'
_cell_length_a 5.2921
_cell_length_b 5.2921
_cell_length_c 27.4955
_cell_angle_alpha 90.00
_cell_angle_beta 90.00
_cell_angle_gamma 90.00
loop_
_atom_site_label
_atom_site_fract_x
_atom_site_fract_y
_atom_site_fract_z
K1 0.0000 0.0000 0.0000
K2 0.0000 0.0000 0.1755
Pa1 0.0000 0.0000 0.4046
S1 0.0000 0.0000 0.5000
S2 0.0000 0.5000 0.0984
Br1 0.0000 0.0000 0.2983

***

E_form (uncorrected) readings, ordered: -1.69, -1.58 eV/atom